(1)
The following is a DFT calculation (PBE) of a relaxed AcPm6Tm3 crystal.

Results
D(E_F): 1.60 states/eV/atom
Theoretical density: 7.7 g cm⁻³
VASP energy: -89.58 eV for the cell shown
Calculated formation energy: 0.124 eV per atom

```
data_AcPm6Tm3
_symmetry_space_group_name_H-M 'P 1 21/m 1'
_symmetry_Int_Tables_number 11
_cell_length_a 13.5504
_cell_length_b 3.5570
_cell_length_c 15.2304
_cell_angle_alpha 90.00
_cell_angle_beta 109.52
_cell_angle_gamma 90.00
loop_
_symmetry_equiv_pos_as_xyz
'x,y,z'
'-x,-y,-z'
'-x,y+1/2,-z'
'x,-y+1/2,z'
loop_
_atom_site_label
_atom_site_type_symbol
_atom_site_fract_x
_atom_site_fract_y
_atom_site_fract_z
_atom_site_occupancy
Ac1 Ac 0.0616 0.2500 0.1900 1
Pm1 Pm 0.0391 0.7500 0.4096 1
Pm2 Pm 0.1541 0.2500 0.9910 1
Pm3 Pm 0.1793 0.7500 0.7810 1
Pm4 Pm 0.3108 0.7500 0.1972 1
Pm5 Pm 0.4505 0.7500 0.7939 1
Pm6 Pm 0.4850 0.2500 0.5968 1
Tm1 Tm 0.2327 0.2500 0.6021 1
Tm2 Tm 0.2827 0.2500 0.3921 1
Tm3 Tm 0.3886 0.7500 0.0021 1
```

***

(2)
The following is a DFT calculation (PBE) of a relaxed AcPmTm crystal.

Results
D(E_F): 1.69 states/eV/atom
Theoretical density: 8.3 g cm⁻³
VASP energy: -52.63 eV for the cell shown
Calculated formation energy: 0.058 eV per atom
Energy above the most stable polymorph in this dataset: 0.0 meV per atom

```
data_AcPmTm
_symmetry_space_group_name_H-M 'C m c m'
_symmetry_Int_Tables_number 63
_symmetry_space_group_name_Hall '-C 2c 2'
_cell_length_a 5.2923
_cell_length_b 15.4918
_cell_length_c 5.2991
_cell_angle_alpha 90.00
_cell_angle_beta 90.00
_cell_angle_gamma 90.00
loop_
_atom_site_label
_atom_site_type_symbol
_atom_site_fract_x
_atom_site_fract_y
_atom_site_fract_z
_atom_site_occupancy
Ac1 Ac 0.0000 0.2495 0.2500 1
Pm1 Pm 0.0000 0.0782 0.7500 1
Tm1 Tm 0.0000 0.4234 0.7500 1
```

***

(3)
The following is a DFT calculation (PBE) of a relaxed Ac3Pm7Tm2 crystal.

Results
D(E_F): 1.50 states/eV/atom
Theoretical density: 7.4 g cm⁻³
VASP energy: -51.84 eV for the cell shown
Calculated formation energy: 0.224 eV per atom

```
data_Ac3Pm7Tm2
_symmetry_space_group_name_H-M 'P 1 2/m 1'
_symmetry_Int_Tables_number 10
_cell_length_a 3.7779
_cell_length_b 5.8122
_cell_length_c 20.9548
_cell_angle_alpha 90.00
_cell_angle_beta 95.18
_cell_angle_gamma 90.00
loop_
_symmetry_equiv_pos_as_xyz
'x,y,z'
'-x,-y,-z'
'-x,y,-z'
'x,-y,z'
loop_
_atom_site_label
_atom_site_type_symbol
_atom_site_fract_x
_atom_site_fract_y
_atom_site_fract_z
_atom_site_occupancy
Ac1 Ac 0.0000 0.0000 0.0000 1
Ac2 Ac 0.3255 0.5000 0.6511 1
Pm1 Pm 0.0876 0.5000 0.1747 1
Pm2 Pm 0.2176 0.0000 0.4353 1
Pm3 Pm 0.4287 0.0000 0.8579 1
Pm4 Pm 0.5000 0.5000 0.0000 1
Tm1 Tm 0.1396 0.0000 0.2781 1
```

***

(4)
The following is a DFT calculation (PBE) of a relaxed Ac4Pm5Tm crystal.

Results
D(E_F): 1.54 states/eV/atom
Theoretical density: 7.5 g cm⁻³
VASP energy: -84.93 eV for the cell shown
Calculated formation energy: 0.219 eV per atom

```
data_Ac4Pm5Tm
_symmetry_space_group_name_H-M 'C 1 2/m 1'
_symmetry_Int_Tables_number 12
_cell_length_a 16.4848
_cell_length_b 5.8743
_cell_length_c 10.6590
_cell_angle_alpha 90.00
_cell_angle_beta 129.37
_cell_angle_gamma 90.00
loop_
_symmetry_equiv_pos_as_xyz
'x,y,z'
'-x,-y,-z'
'-x,y,-z'
'x,-y,z'
'x+1/2,y+1/2,z'
'-x+1/2,-y+1/2,-z'
'-x+1/2,y+1/2,-z'
'x+1/2,-y+1/2,z'
loop_
_atom_site_label
_atom_site_type_symbol
_atom_site_fract_x
_atom_site_fract_y
_atom_site_fract_z
_atom_site_occupancy
Ac1 Ac 0.2474 0.0000 0.3737 1
Ac2 Ac 0.2492 0.5000 0.1336 1
Pm1 Pm 0.0000 0.0000 0.5000 1
Pm2 Pm 0.0483 0.0000 0.8943 1
Pm3 Pm 0.0476 0.5000 0.7066 1
Tm1 Tm 0.0000 0.5000 0.0000 1
```

***

(5)
The following is a DFT calculation (PBE) of a relaxed AcPm8Tm6 crystal.

Results
D(E_F): 1.33 states/eV/atom
Theoretical density: 7.7 g cm⁻³
VASP energy: -65.81 eV for the cell shown
Calculated formation energy: 0.209 eV per atom

```
data_AcPm8Tm6
_symmetry_space_group_name_H-M 'P -3'
_symmetry_Int_Tables_number 147
_cell_length_a 9.5302
_cell_length_b 9.5302
_cell_length_c 6.5889
_cell_angle_alpha 90.00
_cell_angle_beta 90.00
_cell_angle_gamma 120.00
loop_
_symmetry_equiv_pos_as_xyz
'x,y,z'
'-x,-y,-z'
'-y,x-y,z'
'y,-x+y,-z'
'-x+y,-x,z'
'x-y,x,-z'
loop_
_atom_site_label
_atom_site_type_symbol
_atom_site_fract_x
_atom_site_fract_y
_atom_site_fract_z
_atom_site_occupancy
Ac1 Ac 0.0000 0.0000 0.0000 1
Pm1 Pm 0.0202 0.6874 0.6034 1
Pm2 Pm 0.3333 0.6667 0.3254 1
Tm1 Tm 0.0929 0.4169 0.8996 1
```

***

(6)
The following is a DFT calculation (PBE) of a relaxed Ac3Pm8Tm crystal.

Results
D(E_F): 1.43 states/eV/atom
Theoretical density: 6.8 g cm⁻³
VASP energy: -96.88 eV for the cell shown
Calculated formation energy: 0.530 eV per atom

```
data_Ac3Pm8Tm
_symmetry_space_group_name_H-M 'I -4 2 m'
_symmetry_Int_Tables_number 121
_symmetry_space_group_name_Hall 'I -4 2'
_cell_length_a 9.1950
_cell_length_b 9.1950
_cell_length_c 11.6136
_cell_angle_alpha 90.00
_cell_angle_beta 90.00
_cell_angle_gamma 90.00
loop_
_atom_site_label
_atom_site_type_symbol
_atom_site_fract_x
_atom_site_fract_y
_atom_site_fract_z
_atom_site_occupancy
Ac1 Ac 0.0000 0.0000 0.0000 1
Ac2 Ac 0.0000 0.5000 0.2500 1
Pm1 Pm 0.1230 0.1230 0.2607 1
Pm2 Pm 0.2329 0.2329 0.5284 1
Tm1 Tm 0.0000 0.0000 0.5000 1
```

***

(7)
The following is a DFT calculation (PBE) of a relaxed AcPm12Tm3 crystal.

Results
D(E_F): 1.54 states/eV/atom
Theoretical density: 7.5 g cm⁻³
VASP energy: -74.15 eV for the cell shown
Calculated formation energy: 0.024 eV per atom

```
data_AcPm12Tm3
_symmetry_space_group_name_H-M 'P 4/m m m'
_symmetry_Int_Tables_number 123
_symmetry_space_group_name_Hall '-P 4 2'
_cell_length_a 5.1489
_cell_length_b 5.1489
_cell_length_c 20.5677
_cell_angle_alpha 90.00
_cell_angle_beta 90.00
_cell_angle_gamma 90.00
loop_
_atom_site_label
_atom_site_type_symbol
_atom_site_fract_x
_atom_site_fract_y
_atom_site_fract_z
_atom_site_occupancy
Ac1 Ac 0.0000 0.0000 0.0000 1
Pm1 Pm 0.0000 0.5000 0.1318 1
Pm2 Pm 0.0000 0.5000 0.3773 1
Pm3 Pm 0.5000 0.5000 0.0000 1
Pm4 Pm 0.5000 0.5000 0.2559 1
Pm5 Pm 0.5000 0.5000 0.5000 1
Tm1 Tm 0.0000 0.0000 0.2544 1
Tm2 Tm 0.0000 0.0000 0.5000 1
```

***

(8)
The following is a DFT calculation (PBE) of a relaxed AcPm6Tm6 crystal.

Results
D(E_F): 2.05 states/eV/atom
Theoretical density: 7.8 g cm⁻³
VASP energy: -56.39 eV for the cell shown
Calculated formation energy: 0.234 eV per atom

```
data_AcPm6Tm6
_symmetry_space_group_name_H-M 'P 6/m m m'
_symmetry_Int_Tables_number 191
_symmetry_space_group_name_Hall '-P 6 2'
_cell_length_a 6.7456
_cell_length_b 6.7456
_cell_length_c 11.4478
_cell_angle_alpha 90.00
_cell_angle_beta 90.00
_cell_angle_gamma 120.00
loop_
_atom_site_label
_atom_site_type_symbol
_atom_site_fract_x
_atom_site_fract_y
_atom_site_fract_z
_atom_site_occupancy
Ac1 Ac 0.0000 0.0000 0.0000 1
Pm1 Pm 0.0000 0.0000 0.3501 1
Pm2 Pm 0.3333 0.6667 0.0000 1
Pm3 Pm 0.3333 0.6667 0.5000 1
Tm1 Tm 0.0000 0.5000 0.2475 1
```

***

(9)
The following is a DFT calculation (PBE) of a relaxed Ac8Pm2Tm crystal.

Results
D(E_F): 1.73 states/eV/atom
Theoretical density: 8.3 g cm⁻³
VASP energy: -92.74 eV for the cell shown
Calculated formation energy: 0.043 eV per atom

```
data_Ac8Pm2Tm
_symmetry_space_group_name_H-M 'C 1 2/m 1'
_symmetry_Int_Tables_number 12
_cell_length_a 19.6942
_cell_length_b 5.5431
_cell_length_c 8.6846
_cell_angle_alpha 90.00
_cell_angle_beta 105.39
_cell_angle_gamma 90.00
loop_
_symmetry_equiv_pos_as_xyz
'x,y,z'
'-x,-y,-z'
'-x,y,-z'
'x,-y,z'
'x+1/2,y+1/2,z'
'-x+1/2,-y+1/2,-z'
'-x+1/2,y+1/2,-z'
'x+1/2,-y+1/2,z'
loop_
_atom_site_label
_atom_site_type_symbol
_atom_site_fract_x
_atom_site_fract_y
_atom_site_fract_z
_atom_site_occupancy
Ac1 Ac 0.0467 0.0000 0.2299 1
Ac2 Ac 0.0930 0.5000 0.9507 1
Ac3 Ac 0.1375 0.0000 0.6873 1
Ac4 Ac 0.1810 0.5000 0.4142 1
Pm1 Pm 0.2261 0.0000 0.1332 1
Tm1 Tm 0.0000 0.5000 0.5000 1
```

***

Which of these has the lowest D(E_F)? AcPm8Tm6